The following is a PBE with a Hubbard U calculation of a relaxed Sc2AlVO6 crystal, from Alexandria via LeMat-Bulk.

Geometry as CIF:
```
data_Sc2AlVO6
_chemical_formula_sum 'Sc2 Al1 V1 O6'
_cell_length_a 5.184
_cell_length_b 5.184
_cell_length_c 5.484
_cell_angle_alpha 61.79
_cell_angle_beta 61.79
_cell_angle_gamma 60.00
_space_group_name_H-M_alt 'P 1'
_space_group_IT_number 1
loop_
_space_group_symop_operation_xyz
'x,y,z'
loop_
_atom_site_label
_atom_site_type_symbol
_atom_site_fract_x
_atom_site_fract_y
_atom_site_fract_z
_atom_site_occupancy
Sc1 Sc 0.527 0.527 0.420 1
Sc2 Sc 0.028 0.028 0.917 1
Al1 Al 0.316 0.316 0.053 1
V1 V 0.815 0.815 0.554 1
O1 O 0.590 0.203 0.255 1
O2 O 0.203 0.953 0.255 1
O3 O 0.953 0.590 0.255 1
O4 O 0.435 0.689 0.769 1
O5 O 0.689 0.107 0.769 1
O6 O 0.107 0.435 0.769 1
```

## Properties
- electronic total energy (eV per atom) = -8.36
- Fermi-level density of states (states/eV per cell) = 0.00